A relaxed structure of MnCo5Ge3, computed with PBE-GGA.

**Calculated formation energy**: 0.171 eV/atom
**Total energy**: -6.334 eV/atom

Cell lengths 5.930, 5.930, 7.896 Å; angles 112.06, 112.06, 90.00 degrees
Each line ends with the local moment (μB).
Sites, in units of the cell vectors:
Mn: 0.750 0.250 0.500  2.98
Mn: 0.250 0.750 0.500  2.98
Co: 0.087 0.587 0.698  0.86
Co: 0.611 0.111 0.698  0.86
Co: 0.111 0.087 0.698  0.86
Co: 0.587 0.611 0.698  0.86
Co: 0.913 0.413 0.302  0.86
Co: 0.389 0.889 0.302  0.86
Co: 0.889 0.913 0.302  0.86
Co: 0.413 0.389 0.302  0.86
Co: 0.500 0.500 0.000  0.88
Co: 0.000 0.000 0.000  0.88
Ge: 0.637 0.137 0.000  -0.01
Ge: 0.363 0.863 0.000  -0.01
Ge: 0.863 0.637 0.000  -0.01
Ge: 0.137 0.363 0.000  -0.01
Ge: 0.250 0.250 0.500  -0.06
Ge: 0.750 0.750 0.500  -0.06